## Te2MoSeN (PBE-GGA)

Data for a relaxed structure of Te2MoSeN.

extended XYZ file:
```
5
Lattice="5.412 0.000 0.000 0.000 5.412 0.000 0.000 0.000 3.807" Properties=species:S:1:pos:R:3 pbc="T T T"
Mo 0.000 0.000 0.000
Te 0.000 2.706 0.000
Te 2.706 0.000 0.000
Se 2.706 2.706 1.903
N 0.000 0.000 1.903
```

Properties
- Uncorrected formation energy: 0.327 eV per atom
- Calculated density: 6.6 g/cm³
- Total DFT energy (no corrections): -5.457 eV/atom